No. 1
## Fe2POs (GGA-PBE)

Data for an optimized crystal structure of Fe2POs.

abc: 4.3369 4.3369 4.3369
angles: 130.11 130.11 73.24
Sites, in units of the cell vectors:
1 Fe 0.2500 0.7500 0.5000
2 Fe 0.0000 0.0000 0.0000
3 Os 0.5000 0.5000 0.0000
4 P 0.7500 0.2500 0.5000

- calculated total energy (eV per cell) = -33.18
- formation energy from the elements (eV per formula unit) = 0.389
- M_tot (Bohr magnetons per cell) = 0.1

No. 2
## FePOs3 (GGA-PBE)

Data for an optimized crystal structure of FePOs3.

abc: 4.4050 4.4050 4.4050
angles: 90.00 90.00 90.00
Sites, in units of the cell vectors:
1 Fe 0.0000 0.0000 0.0000
2 P 0.5000 0.5000 0.5000
3 Os 0.0000 0.5000 0.0000
4 Os 0.5000 0.0000 0.0000
5 Os 0.0000 0.0000 0.5000

- calculated total energy (eV per cell) = -37.59
- distance to the lowest polymorph of the same formula (eV/atom) = 0.699
- formation energy from the elements (eV per formula unit) = 9.968
- M_tot (Bohr magnetons per cell) = 0.0

No. 3
## Fe2POs (GGA-PBE)

Data for an optimized crystal structure of Fe2POs.

abc: 4.0841 4.0841 4.0841
angles: 60.00 60.00 60.00
Sites, in units of the cell vectors:
1 P 0.7500 0.7500 0.7500
2 Fe 0.2500 0.2500 0.2500
3 Os 0.5000 0.5000 0.5000
4 Fe 0.0000 0.0000 0.0000

- calculated total energy (eV per cell) = -33.43
- formation energy from the elements (eV per formula unit) = 0.131
- M_tot (Bohr magnetons per cell) = 4.4

No. 4
## Fe2POs (GGA-PBE)

Data for an optimized crystal structure of Fe2POs.

abc: 4.4303 4.4303 4.4303
angles: 132.68 132.68 69.15
Sites, in units of the cell vectors:
1 P 0.7500 0.2500 0.5000
2 Os 0.2500 0.7500 0.5000
3 Fe 0.5000 0.5000 0.0000
4 Fe 0.0000 0.0000 0.0000

- calculated total energy (eV per cell) = -33.15
- formation energy from the elements (eV per formula unit) = 0.419
- M_tot (Bohr magnetons per cell) = 0.3

No. 5
## FeP2Os2 (GGA-PBE)

Data for an optimized crystal structure of FeP2Os2.

abc: 3.6173 3.6173 6.1673
angles: 72.95 72.95 90.00
Sites, in units of the cell vectors:
1 P 0.7500 0.2500 0.5000
2 Os 0.6187 0.6187 0.7625
3 Fe 0.0000 0.0000 0.0000
4 P 0.2500 0.7500 0.5000
5 Os 0.3813 0.3813 0.2375

- calculated total energy (eV per cell) = -40.97
- distance to the lowest polymorph of the same formula (eV/atom) = 0.000
- formation energy from the elements (eV per formula unit) = 0.768
- M_tot (Bohr magnetons per cell) = 3.0

No. 6
## Fe2POs (GGA-PBE)

Data for an optimized crystal structure of Fe2POs.

abc: 2.9334 2.9334 5.6390
angles: 90.00 90.00 90.00
Sites, in units of the cell vectors:
1 Os 0.0000 0.0000 0.5189
2 P 0.5000 0.5000 0.7624
3 Fe 0.0000 0.0000 0.9949
4 Fe 0.5000 0.5000 0.2238

- calculated total energy (eV per cell) = -33.70
- formation energy from the elements (eV per formula unit) = -0.138
- M_tot (Bohr magnetons per cell) = 4.8

No. 7
## Fe2POs (GGA-PBE)

Data for an optimized crystal structure of Fe2POs.

abc: 5.0594 5.0594 6.2864
angles: 66.27 66.27 90.00
Sites, in units of the cell vectors:
1 P 0.5000 0.5000 0.0000
2 Fe 0.3750 0.3946 0.7500
3 Fe 0.1446 0.6250 0.2500
4 Fe 0.8750 0.8554 0.7500
5 P 0.2500 0.7500 0.5000
6 Fe 0.6054 0.1250 0.2500
7 Os 0.7500 0.2500 0.5000
8 Os 0.0000 0.0000 0.0000

- calculated total energy (eV per cell) = -61.89
- formation energy from the elements (eV per formula unit) = 2.621
- M_tot (Bohr magnetons per cell) = 0.0

No. 8
## Fe2POs (GGA-PBE)

Data for an optimized crystal structure of Fe2POs.

abc: 3.5401 3.5401 3.9075
angles: 90.00 90.00 90.00
Sites, in units of the cell vectors:
1 Fe 0.0000 0.0000 0.0000
2 P 0.0000 0.5000 0.5000
3 Os 0.5000 0.0000 0.5000
4 Fe 0.5000 0.5000 0.0000

- calculated total energy (eV per cell) = -33.15
- formation energy from the elements (eV per formula unit) = 0.415
- M_tot (Bohr magnetons per cell) = 4.5

No. 9
## Fe2P2Os (GGA-PBE)

Data for an optimized crystal structure of Fe2P2Os.

abc: 6.5093 6.5093 2.6861
angles: 90.00 90.00 90.00
Sites, in units of the cell vectors:
1 Fe 0.3577 0.1423 0.5000
2 Fe 0.8577 0.3577 0.5000
3 P 0.1542 0.3458 0.0000
4 Os 0.5000 0.5000 0.0000
5 Os 0.0000 0.0000 0.0000
6 P 0.3458 0.8458 0.0000
7 P 0.6542 0.1542 0.0000
8 Fe 0.6423 0.8577 0.5000
9 P 0.8458 0.6542 0.0000
10 Fe 0.1423 0.6423 0.5000

- calculated total energy (eV per cell) = -79.25
- formation energy from the elements (eV per formula unit) = -0.652
- M_tot (Bohr magnetons per cell) = 0.0

No. 10
## FePOs3 (GGA-PBE)

Data for an optimized crystal structure of FePOs3.

abc: 4.2975 4.2975 4.2975
angles: 90.00 90.00 90.00
Sites, in units of the cell vectors:
1 Os 0.0000 0.5000 0.0000
2 Fe 0.5000 0.5000 0.5000
3 Os 0.0000 0.0000 0.5000
4 P 0.0000 0.0000 0.0000
5 Os 0.5000 0.0000 0.0000

- calculated total energy (eV per cell) = -41.09
- distance to the lowest polymorph of the same formula (eV/atom) = 0.000
- formation energy from the elements (eV per formula unit) = 6.474
- M_tot (Bohr magnetons per cell) = 0.1

No. 11
## Fe2POs (GGA-PBE)

Data for an optimized crystal structure of Fe2POs.

abc: 4.9305 4.9305 4.9305
angles: 147.69 131.30 59.66
Sites, in units of the cell vectors:
1 Os 0.5340 0.5340 0.0000
2 Fe 0.9577 0.9577 0.0000
3 P 0.7566 0.2566 0.5000
4 Fe 0.2517 0.7517 0.5000

- calculated total energy (eV per cell) = -33.70
- formation energy from the elements (eV per formula unit) = -0.135
- M_tot (Bohr magnetons per cell) = 1.7

No. 12
## Fe2POs (GGA-PBE)

Data for an optimized crystal structure of Fe2POs.

abc: 3.5310 2.6830 5.1666
angles: 74.92 90.00 90.00
Sites, in units of the cell vectors:
1 Fe 0.5000 0.3136 0.2490
2 P 0.5000 0.5298 0.8157
3 Fe 0.0000 0.9611 0.9515
4 Os 0.0000 0.6956 0.4838

- calculated total energy (eV per cell) = -33.93
- formation energy from the elements (eV per formula unit) = -0.360
- M_tot (Bohr magnetons per cell) = 0.0